Record 1
Density functional theory data (GGA-PBE) for a relaxed Cs3PS crystal.

E_form (uncorrected)   -219.9 meV per atom
Crystal system   cubic
Magnetic moment   0.400 μB per atom
Symmetry   Pm-3m, No. 221

Cell and atoms, written as POSCAR:
```
Cs3PS
1.0
-6.038 0.106 2.832
2.820 -0.420 6.030
0.274 6.656 0.336
Cs P S
3 1 1
Cartesian
1.410 -0.210 3.015
0.137 3.328 0.168
-3.019 0.053 1.416
-1.472 3.171 4.599
0.000 0.000 0.000
```

---

Record 2
Density functional theory data (GGA-PBE) for a relaxed Cs2PS5 crystal.

E_form (uncorrected)   -594.8 meV per atom
Crystal system   monoclinic
Magnetic moment   0.128 μB per atom
Symmetry   Cm, No. 8

Cell and atoms, written as POSCAR:
```
Cs2PS5
1.0
-6.121 0.572 5.938
-4.620 -3.539 -4.422
8.423 -3.426 -0.018
Cs P S
2 1 5
Cartesian
-0.850 -3.751 -2.151
-1.916 -2.207 3.768
2.612 -6.439 -3.616
3.638 -3.518 3.399
-2.032 -1.142 0.238
0.284 -6.087 0.190
-4.511 -3.041 -2.135
-4.058 -4.161 1.529
```

---

Record 3
Density functional theory data (GGA-PBE) for a relaxed Cs8P2S crystal.

E_form (uncorrected)   -344.5 meV per atom
Crystal system   monoclinic
Magnetic moment   0.083 μB per atom
Symmetry   C2/m, No. 12

Cell and atoms, written as POSCAR:
```
Cs8P2S
1.0
-2.395 5.530 -0.831
-7.019 -6.836 -2.996
-2.328 0.583 10.588
Cs P S
8 2 1
Cartesian
-7.764 -3.371 -0.059
-4.630 1.188 -1.016
-7.104 0.594 2.162
-10.159 -0.207 5.640
-4.638 -1.318 4.599
-7.112 -1.912 7.778
-3.978 2.648 6.820
-1.583 -0.517 1.121
-6.956 1.211 5.840
-4.786 -1.934 0.921
-1.197 2.765 -0.415
```

---

Record 4
Density functional theory data (GGA-PBE) for a relaxed Cs2P2S7 crystal.

E_form (uncorrected)   -460.8 meV per atom
Crystal system   monoclinic
Magnetic moment   0.000 μB per atom
Symmetry   C2/m, No. 12

Cell and atoms, written as POSCAR:
```
Cs2P2S7
1.0
-5.079 3.630 -0.445
-2.331 -5.853 5.583
5.588 5.011 3.810
Cs P S
2 2 7
Cartesian
0.735 3.652 4.105
-2.557 -0.864 4.843
2.428 -0.605 7.137
-4.250 3.394 1.811
2.716 1.219 6.476
-2.533 4.319 2.023
-4.538 1.569 2.472
0.711 -1.531 6.925
-0.825 0.949 2.130
0.000 0.000 0.000
-0.997 1.839 6.818
```

---

Record 5
Density functional theory data (GGA-PBE) for a relaxed CsPS2 crystal.

E_form (uncorrected)   -36.5 meV per atom
Crystal system   trigonal
Magnetic moment   0.500 μB per atom
Symmetry   R-3m, No. 166

Cell and atoms, written as POSCAR:
```
CsPS2
1.0
3.450 0.000 6.365
-1.725 2.988 6.365
-1.725 -2.988 6.365
Cs P S
1 1 2
Cartesian
0.000 0.000 9.547
0.000 0.000 0.000
0.000 0.000 17.035
0.000 0.000 2.059
```

---

Record 6
Density functional theory data (GGA-PBE) for a relaxed Cs2PS4 crystal.

E_form (uncorrected)   -789.0 meV per atom
Crystal system   monoclinic
Magnetic moment   0.000 μB per atom
Symmetry   P2_1/m, No. 11

Cell and atoms, written as POSCAR:
```
Cs2PS4
1.0
-2.277 6.729 -2.840
-5.382 -1.333 1.158
1.546 3.893 11.664
Cs P S
4 2 8
Cartesian
-5.619 4.432 -0.233
-0.495 4.858 10.216
-1.141 3.146 5.243
-4.973 6.144 4.739
-4.346 1.934 2.807
-1.768 7.355 7.176
-3.315 3.737 2.548
-4.436 0.839 1.130
-1.678 8.451 8.852
-0.701 4.384 1.986
-2.378 8.413 5.558
-5.412 4.905 7.997
-2.799 5.552 7.434
-3.736 0.876 4.425
```

---

Record 7
Density functional theory data (GGA-PBE) for a relaxed CsPS2 crystal.

E_form (uncorrected)   -694.0 meV per atom
Crystal system   orthorhombic
Magnetic moment   0.000 μB per atom
Symmetry   Imma, No. 74

Cell and atoms, written as POSCAR:
```
CsPS2
1.0
-0.581 -3.323 -2.440
8.448 1.286 -0.213
-2.284 -2.707 7.779
Cs P S
2 2 4
Cartesian
6.560 -1.140 3.523
2.121 -4.346 5.393
1.932 -1.007 0.891
0.586 -3.061 0.458
0.821 -4.265 2.041
3.812 -1.599 1.251
7.154 -1.183 -0.115
-0.588 -2.510 7.087
```

---

Record 8
Density functional theory data (GGA-PBE) for a relaxed CsSbP2S8 crystal.

E_form (uncorrected)   -282.1 meV per atom
Crystal system   trigonal
Magnetic moment   0.000 μB per atom
Symmetry   R-3, No. 148

Cell and atoms, written as POSCAR:
```
CsSbP2S8
1.0
-5.429 2.591 0.615
-4.978 -2.963 -1.733
-4.358 -4.281 9.289
Cs Sb P S
1 1 2 8
Cartesian
-7.383 -2.326 4.086
0.000 0.000 0.000
-3.653 -0.982 1.622
-11.113 -3.670 6.549
-3.820 -1.765 3.442
-5.421 0.053 1.270
-10.945 -2.887 4.729
-8.824 0.008 0.937
-5.942 -4.660 7.235
-6.973 -2.691 -0.054
-7.792 -1.961 8.225
-9.344 -4.705 6.902
```

---

Record 9
Density functional theory data (GGA-PBE) for a relaxed CsSbP2S crystal.

E_form (uncorrected)   1807.9 meV per atom
Crystal system   tetragonal
Magnetic moment   0.069 μB per atom
Symmetry   P4/mmm, No. 123

Cell and atoms, written as POSCAR:
```
CsSbP2S
1.0
5.566 0.000 0.000
0.000 5.566 0.000
0.000 0.000 5.187
Cs Sb S P
1 1 1 2
Cartesian
0.000 0.000 0.000
2.783 2.783 2.593
0.000 0.000 2.593
0.000 2.783 0.000
2.783 0.000 0.000
```

---

Record 10
Density functional theory data (GGA-PBE) for a relaxed CsSbP2S crystal.

E_form (uncorrected)   374.7 meV per atom
Crystal system   tetragonal
Magnetic moment   0.487 μB per atom
Symmetry   P4/mmm, No. 123

Cell and atoms, written as POSCAR:
```
CsSbP2S
1.0
5.295 0.000 0.000
0.000 5.295 0.000
0.000 0.000 5.379
Cs Sb S P
1 1 1 2
Cartesian
2.648 2.648 2.689
0.000 0.000 0.000
0.000 0.000 2.689
0.000 2.648 0.000
2.648 0.000 0.000
```

---

Record 11
Density functional theory data (GGA-PBE) for a relaxed CsScP2S8 crystal.

E_form (uncorrected)   -558.2 meV per atom
Crystal system   trigonal
Magnetic moment   0.171 μB per atom
Symmetry   P-3, No. 147

Cell and atoms, written as POSCAR:
```
CsScP2S8
1.0
6.147 0.000 0.000
-3.074 5.324 0.000
0.000 0.000 9.763
Cs Sc P S
1 1 2 8
Cartesian
0.000 0.000 0.000
0.000 0.000 4.882
3.074 1.775 2.846
0.000 3.549 6.918
0.000 3.549 8.937
1.097 1.872 3.426
3.978 0.015 3.426
3.074 1.775 0.826
-0.904 5.309 6.337
1.976 3.452 6.337
-1.072 1.886 6.337
4.146 3.438 3.426
```

---

Record 12
Density functional theory data (GGA-PBE) for a relaxed CsScPS2 crystal.

E_form (uncorrected)   -653.0 meV per atom
Crystal system   tetragonal
Magnetic moment   0.303 μB per atom
Symmetry   P4/mmm, No. 123

Cell and atoms, written as POSCAR:
```
CsScPS2
1.0
5.112 0.000 0.000
0.000 5.112 0.000
0.000 0.000 5.236
Cs Sc S P
1 1 2 1
Cartesian
2.556 2.556 2.618
0.000 0.000 0.000
0.000 2.556 0.000
2.556 0.000 0.000
0.000 0.000 2.618
```

---

Record 13
Density functional theory data (GGA-PBE) for a relaxed CsScPS2 crystal.

E_form (uncorrected)   1146.0 meV per atom
Crystal system   tetragonal
Magnetic moment   0.016 μB per atom
Symmetry   P4/mmm, No. 123

Cell and atoms, written as POSCAR:
```
CsScPS2
1.0
-4.821 1.652 -0.898
-1.876 -4.389 1.998
-0.133 2.361 5.061
Cs Sc S P
1 1 2 1
Cartesian
0.000 0.000 0.000
-3.415 -0.188 3.081
-0.938 -2.194 0.999
-2.410 0.826 -0.449
-0.067 1.180 2.530
```

---

Record 14
Density functional theory data (GGA-PBE) for a relaxed Cs2ScP2S6 crystal.

E_form (uncorrected)   -832.9 meV per atom
Crystal system   trigonal
Magnetic moment   0.000 μB per atom
Symmetry   R-3m, No. 166

Cell and atoms, written as POSCAR:
```
Cs2ScP2S6
1.0
7.057 0.000 0.000
-3.529 6.107 -0.224
0.000 -3.827 6.740
Cs Sc P S
2 1 2 6
Cartesian
3.529 2.089 1.394
0.000 0.191 5.122
3.529 -1.913 3.370
3.529 2.236 5.312
0.000 0.044 1.204
3.529 0.178 4.982
-1.759 5.143 1.420
1.770 -2.863 5.096
5.287 -2.863 5.096
1.759 5.143 1.420
0.000 2.102 1.534
```

---

Record 15
Density functional theory data (GGA-PBE) for a relaxed CsP2SeS crystal.

E_form (uncorrected)   1898.4 meV per atom
Crystal system   tetragonal
Magnetic moment   1.634 μB per atom
Symmetry   P4/mmm, No. 123

Cell and atoms, written as POSCAR:
```
CsP2SeS
1.0
-1.151 -5.815 3.706
6.719 -0.102 1.927
-1.273 3.187 4.606
Cs P S Se
1 2 1 1
Cartesian
0.000 0.000 0.000
3.359 -0.051 0.963
-0.575 -2.907 1.853
-0.636 1.593 2.303
2.148 -1.365 5.119
```

---

Record 16
Density functional theory data (GGA-PBE) for a relaxed CsPSeS2 crystal.

E_form (uncorrected)   1733.3 meV per atom
Crystal system   tetragonal
Magnetic moment   0.697 μB per atom
Symmetry   P4/mmm, No. 123

Cell and atoms, written as POSCAR:
```
CsPSeS2
1.0
5.406 0.000 0.000
0.000 5.406 0.000
0.000 0.000 7.473
Cs P S Se
1 1 2 1
Cartesian
0.000 0.000 0.000
0.000 0.000 3.736
0.000 2.703 0.000
2.703 0.000 0.000
2.703 2.703 3.736
```

---

Record 17
Density functional theory data (GGA-PBE) for a relaxed CsP2SeS8 crystal.

E_form (uncorrected)   -127.8 meV per atom
Crystal system   trigonal
Magnetic moment   0.000 μB per atom
Symmetry   R-3, No. 148

Cell and atoms, written as POSCAR:
```
CsP2SeS8
1.0
-1.615 1.654 -5.522
-5.799 0.334 -1.449
-2.660 10.788 0.764
Cs P Se S
1 2 1 8
Cartesian
-5.037 6.388 -3.104
-2.509 2.699 -1.703
-7.565 10.077 -4.504
0.000 0.000 0.000
-2.545 4.610 -1.120
-3.066 2.720 -3.701
-7.529 8.166 -5.087
-5.493 3.378 -6.007
-4.582 9.398 -0.200
-6.355 2.401 -2.854
-3.719 10.375 -3.353
-7.008 10.056 -2.506
```

---

Record 18
Density functional theory data (GGA-PBE) for a relaxed CsPSeS2 crystal.

E_form (uncorrected)   273.7 meV per atom
Crystal system   tetragonal
Magnetic moment   0.277 μB per atom
Symmetry   P4/mmm, No. 123

Cell and atoms, written as POSCAR:
```
CsPSeS2
1.0
-0.381 -3.144 -4.030
-2.510 -3.406 2.894
-4.297 2.112 -1.242
Cs P S Se
1 1 2 1
Cartesian
-3.594 -2.219 -1.189
-2.149 1.056 -0.621
-1.255 -1.703 1.447
-0.190 -1.572 -2.015
0.000 0.000 0.000
```

---

Record 19
Density functional theory data (GGA-PBE) for a relaxed CsP2Se8S crystal.

E_form (uncorrected)   -22.9 meV per atom
Crystal system   trigonal
Magnetic moment   0.000 μB per atom
Symmetry   R-3, No. 148

Cell and atoms, written as POSCAR:
```
CsP2Se8S
1.0
6.094 0.000 0.000
3.047 5.278 0.000
3.047 1.759 11.487
Cs P Se S
1 2 8 1
Cartesian
6.094 3.518 5.743
3.047 1.759 2.337
9.141 5.278 9.150
3.047 1.759 4.497
5.219 1.855 1.649
9.141 5.278 6.990
7.972 3.593 1.649
4.216 3.444 9.838
5.091 5.108 1.649
7.097 1.929 9.838
6.969 5.182 9.838
0.000 0.000 0.000
```

---

Record 20
Density functional theory data (GGA-PBE) for a relaxed CsP2SeS crystal.

E_form (uncorrected)   533.2 meV per atom
Crystal system   tetragonal
Magnetic moment   0.488 μB per atom
Symmetry   P4/mmm, No. 123

Cell and atoms, written as POSCAR:
```
CsP2SeS
1.0
5.117 0.000 0.000
0.000 5.117 0.000
0.000 0.000 5.203
Cs P S Se
1 2 1 1
Cartesian
2.559 2.559 2.602
0.000 2.559 0.000
2.559 0.000 0.000
0.000 0.000 2.602
0.000 0.000 0.000
```

---

Record 21
Density functional theory data (GGA-PBE) for a relaxed CsSiPS2 crystal.

E_form (uncorrected)   47.2 meV per atom
Crystal system   tetragonal
Magnetic moment   0.001 μB per atom
Symmetry   P4/mmm, No. 123

Cell and atoms, written as POSCAR:
```
CsSiPS2
1.0
4.942 0.000 0.000
0.000 4.942 0.000
0.000 0.000 4.653
Cs P S Si
1 1 2 1
Cartesian
2.471 2.471 2.326
0.000 0.000 2.326
0.000 2.471 0.000
2.471 0.000 0.000
0.000 0.000 0.000
```

---

Record 22
Density functional theory data (GGA-PBE) for a relaxed CsSiPS2 crystal.

E_form (uncorrected)   1846.9 meV per atom
Crystal system   tetragonal
Magnetic moment   0.161 μB per atom
Symmetry   P4/mmm, No. 123

Cell and atoms, written as POSCAR:
```
CsSiPS2
1.0
-2.240 -3.992 2.720
1.901 -3.484 -3.549
4.771 -0.561 3.106
Cs P S Si
1 1 2 1
Cartesian
0.000 0.000 0.000
2.386 -0.280 1.553
0.950 -1.742 -1.774
-1.120 -1.996 1.360
2.216 -4.018 1.139
```

---

Record 23
Density functional theory data (GGA-PBE) for a relaxed CsSiP2S8 crystal.

E_form (uncorrected)   -308.3 meV per atom
Crystal system   trigonal
Magnetic moment   0.000 μB per atom
Symmetry   P-3, No. 147

Cell and atoms, written as POSCAR:
```
CsSiP2S8
1.0
5.801 0.000 0.000
-2.900 5.024 0.000
0.000 0.000 10.515
Cs Si P S
1 1 2 8
Cartesian
0.000 0.000 0.000
0.000 0.000 5.258
2.900 1.675 3.223
0.000 3.349 7.292
0.000 3.349 9.276
0.881 1.600 3.811
1.075 4.987 3.811
2.900 1.675 1.239
1.826 0.037 6.704
2.020 3.424 6.704
4.856 1.563 6.704
-1.955 3.461 3.811
```

---

Record 24
Density functional theory data (GGA-PBE) for a relaxed Cs2SmPS4 crystal.

E_form (uncorrected)   -957.8 meV per atom
Crystal system   orthorhombic
Magnetic moment   0.000 μB per atom
Symmetry   Fddd, No. 70

Cell and atoms, written as POSCAR:
```
Cs2SmPS4
1.0
6.771 0.000 0.000
3.386 7.253 0.000
3.386 0.000 12.863
Cs Sm P S
4 2 2 8
Cartesian
3.386 0.000 8.212
6.771 0.000 4.651
8.464 3.626 11.082
8.464 3.626 1.781
8.464 3.626 6.431
0.000 0.000 0.000
5.079 3.626 6.431
3.386 0.000 0.000
5.285 5.920 1.233
5.285 1.333 11.629
11.643 5.920 11.629
4.872 1.333 1.233
6.564 4.959 5.198
6.564 2.294 7.665
10.364 4.959 7.665
3.593 2.294 5.198
```